1.
# AlMo3, relaxed, DFT PBEsol
data_AlMo3
_cell_length_a 2.7834
_cell_length_b 2.7834
_cell_length_c 27.4336
_cell_angle_alpha 90.00
_cell_angle_beta 90.00
_cell_angle_gamma 120.00
_space_group_name_H-M_alt 'R -3 m'
_space_group_IT_number 166
_space_group_name_Hall '-R 3 2"'
loop_
_atom_site_label
_atom_site_type_symbol
_atom_site_fract_x
_atom_site_fract_y
_atom_site_fract_z
Al1 Al 0.0000 0.0000 0.0000
Mo1 Mo 0.0000 0.0000 0.2508
Mo2 Mo 0.0000 0.0000 0.5000
# Total magnetization, μB/f.u.: 0.00
# Energy above the most stable polymorph in this dataset, eV per atom: 0.455

2.
# Zn2CdSe, relaxed, DFT PBEsol
data_Zn2CdSe
_cell_length_a 3.469
_cell_length_b 5.744
_cell_length_c 8.036
_cell_angle_alpha 90.00
_cell_angle_beta 90.00
_cell_angle_gamma 90.00
_space_group_name_H-M_alt 'I m m m'
_space_group_IT_number 71
_space_group_name_Hall '-I 2 2'
loop_
_atom_site_label
_atom_site_type_symbol
_atom_site_fract_x
_atom_site_fract_y
_atom_site_fract_z
Zn1 Zn 0.000 0.000 0.233
Cd1 Cd 0.000 0.500 0.000
Se1 Se 0.000 0.500 0.500
# Total magnetization, μB/f.u.: 0.00
# Energy above the most stable polymorph in this dataset, eV per atom: 0.000

3.
# HgPbO2, relaxed, DFT PBEsol
data_HgPbO2
_cell_length_a 3.4544
_cell_length_b 3.4544
_cell_length_c 20.4665
_cell_angle_alpha 90.00
_cell_angle_beta 90.00
_cell_angle_gamma 120.00
_space_group_name_H-M_alt 'R -3 m'
_space_group_IT_number 166
_space_group_name_Hall '-R 3 2"'
loop_
_atom_site_label
_atom_site_type_symbol
_atom_site_fract_x
_atom_site_fract_y
_atom_site_fract_z
Hg1 Hg 0.0000 0.0000 0.0000
Pb1 Pb 0.0000 0.0000 0.5000
O1 O 0.0000 0.0000 0.3922
# Total magnetization, μB/f.u.: 0.05
# DFT total energy, eV/atom: -3.944

4.
# Sc2ZnSb, relaxed, DFT PBEsol
data_Sc2ZnSb
_cell_length_a 4.354
_cell_length_b 4.354
_cell_length_c 8.340
_cell_angle_alpha 90.00
_cell_angle_beta 90.00
_cell_angle_gamma 90.00
_space_group_name_H-M_alt 'I 4/m m m'
_space_group_IT_number 139
_space_group_name_Hall '-I 4 2'
loop_
_atom_site_label
_atom_site_type_symbol
_atom_site_fract_x
_atom_site_fract_y
_atom_site_fract_z
Sc1 Sc 0.000 0.500 0.250
Zn1 Zn 0.000 0.000 0.000
Sb1 Sb 0.000 0.000 0.500
# Total magnetization, μB/f.u.: 1.00
# Energy above the most stable polymorph in this dataset, eV per atom: 0.091

5.
# MnZnPtS2, relaxed, DFT PBEsol
data_MnZnPtS2
_cell_length_a 4.195
_cell_length_b 4.195
_cell_length_c 4.938
_cell_angle_alpha 90.00
_cell_angle_beta 90.00
_cell_angle_gamma 90.00
_space_group_name_H-M_alt 'P 4/m m m'
_space_group_IT_number 123
_space_group_name_Hall '-P 4 2'
loop_
_atom_site_label
_atom_site_type_symbol
_atom_site_fract_x
_atom_site_fract_y
_atom_site_fract_z
Mn1 Mn 0.000 0.000 0.000
Zn1 Zn 0.500 0.500 0.500
Pt1 Pt 0.000 0.000 0.500
S1 S 0.000 0.500 0.000
# Total magnetization, μB/f.u.: 2.06
# DFT total energy, eV/atom: -5.036

6.
# CoPd2NO, relaxed, DFT PBEsol
data_CoPd2NO
_cell_length_a 4.194
_cell_length_b 4.194
_cell_length_c 3.472
_cell_angle_alpha 90.00
_cell_angle_beta 90.00
_cell_angle_gamma 90.00
_space_group_name_H-M_alt 'P 4/m m m'
_space_group_IT_number 123
_space_group_name_Hall '-P 4 2'
loop_
_atom_site_label
_atom_site_type_symbol
_atom_site_fract_x
_atom_site_fract_y
_atom_site_fract_z
Co1 Co 0.000 0.000 0.000
Pd1 Pd 0.000 0.500 0.500
N1 N 0.500 0.500 0.000
O1 O 0.000 0.000 0.500
# Total magnetization, μB/f.u.: 2.41
# DFT total energy, eV/atom: -5.739

7.
# Cs2KRb, relaxed, DFT PBEsol
data_Cs2KRb
_cell_length_a 12.607
_cell_length_b 12.607
_cell_length_c 9.588
_cell_angle_alpha 90.00
_cell_angle_beta 90.00
_cell_angle_gamma 90.00
_space_group_name_H-M_alt 'I -4 2 d'
_space_group_IT_number 122
_space_group_name_Hall 'I -4 2bw'
loop_
_atom_site_label
_atom_site_type_symbol
_atom_site_fract_x
_atom_site_fract_y
_atom_site_fract_z
Cs1 Cs 0.242 0.250 0.125
K1 K 0.000 0.000 0.000
Rb1 Rb 0.000 0.000 0.500
# Total magnetization, μB/f.u.: 0.00
# Energy above the most stable polymorph in this dataset, eV per atom: 0.062

8.
# OsRhW2, relaxed, DFT PBEsol
data_OsRhW2
_cell_length_a 5.509
_cell_length_b 7.722
_cell_length_c 2.754
_cell_angle_alpha 90.00
_cell_angle_beta 90.00
_cell_angle_gamma 90.00
_space_group_name_H-M_alt 'C m m m'
_space_group_IT_number 65
_space_group_name_Hall '-C 2 2'
loop_
_atom_site_label
_atom_site_type_symbol
_atom_site_fract_x
_atom_site_fract_y
_atom_site_fract_z
Os1 Os 0.000 0.000 0.000
Rh1 Rh 0.000 0.500 0.000
W1 W 0.250 0.250 0.500
# Total magnetization, μB/f.u.: 0.00
# Energy above the most stable polymorph in this dataset, eV per atom: 0.014

9.
# SmErO3, relaxed, DFT PBEsol
data_SmErO3
_cell_length_a 5.929
_cell_length_b 8.317
_cell_length_c 5.666
_cell_angle_alpha 90.00
_cell_angle_beta 90.00
_cell_angle_gamma 90.00
_space_group_name_H-M_alt 'P n m a'
_space_group_IT_number 62
loop_
_space_group_symop_operation_xyz
'x,y,z'
'-x,-y,-z'
'-x+1/2,-y,z+1/2'
'x+1/2,y,-z+1/2'
'x+1/2,-y+1/2,-z+1/2'
'-x+1/2,y+1/2,z+1/2'
'-x,y+1/2,-z'
'x,-y+1/2,z'
loop_
_atom_site_label
_atom_site_type_symbol
_atom_site_fract_x
_atom_site_fract_y
_atom_site_fract_z
Sm1 Sm 0.057 0.250 0.022
Er1 Er 0.000 0.000 0.500
O1 O 0.068 0.750 0.359
O2 O 0.194 0.576 0.809
# Total magnetization, μB/f.u.: 0.00
# DFT total energy, eV/atom: -8.685

10.
# ErSi2Rh3, relaxed, DFT PBEsol
data_ErSi2Rh3
_cell_length_a 7.119
_cell_length_b 9.456
_cell_length_c 5.463
_cell_angle_alpha 90.00
_cell_angle_beta 90.00
_cell_angle_gamma 90.00
_space_group_name_H-M_alt 'I m m a'
_space_group_IT_number 74
_space_group_name_Hall '-I 2b 2'
loop_
_atom_site_label
_atom_site_type_symbol
_atom_site_fract_x
_atom_site_fract_y
_atom_site_fract_z
Er1 Er 0.000 0.250 0.204
Si1 Si 0.000 0.079 0.693
Rh1 Rh 0.214 0.000 0.000
Rh2 Rh 0.250 0.250 0.750
# Total magnetization, μB/f.u.: 0.00
# DFT total energy, eV/atom: -7.915

11.
# PtI2BrN, relaxed, DFT PBEsol
data_PtI2BrN
_cell_length_a 5.953
_cell_length_b 5.953
_cell_length_c 4.681
_cell_angle_alpha 90.00
_cell_angle_beta 90.00
_cell_angle_gamma 90.00
_space_group_name_H-M_alt 'P 4/m m m'
_space_group_IT_number 123
_space_group_name_Hall '-P 4 2'
loop_
_atom_site_label
_atom_site_type_symbol
_atom_site_fract_x
_atom_site_fract_y
_atom_site_fract_z
Pt1 Pt 0.000 0.000 0.000
I1 I 0.000 0.500 0.500
Br1 Br 0.000 0.000 0.500
N1 N 0.500 0.500 0.000
# Total magnetization, μB/f.u.: 2.98
# DFT total energy, eV/atom: -2.372

12.
# CrRuSe3, relaxed, DFT PBEsol
data_CrRuSe3
_cell_length_a 4.615
_cell_length_b 4.615
_cell_length_c 4.615
_cell_angle_alpha 90.00
_cell_angle_beta 90.00
_cell_angle_gamma 90.00
_space_group_name_H-M_alt 'P m -3 m'
_space_group_IT_number 221
_space_group_name_Hall '-P 4 2 3'
loop_
_atom_site_label
_atom_site_type_symbol
_atom_site_fract_x
_atom_site_fract_y
_atom_site_fract_z
Cr1 Cr 0.000 0.000 0.000
Ru1 Ru 0.500 0.500 0.500
Se1 Se 0.000 0.000 0.500
# Total magnetization, μB/f.u.: 0.20
# DFT total energy, eV/atom: -5.531

13.
# YTl3Mo, relaxed, DFT PBEsol
data_YTl3Mo
_cell_length_a 5.651
_cell_length_b 5.651
_cell_length_c 5.651
_cell_angle_alpha 90.00
_cell_angle_beta 90.00
_cell_angle_gamma 90.00
_space_group_name_H-M_alt 'P m -3 m'
_space_group_IT_number 221
_space_group_name_Hall '-P 4 2 3'
loop_
_atom_site_label
_atom_site_type_symbol
_atom_site_fract_x
_atom_site_fract_y
_atom_site_fract_z
Y1 Y 0.000 0.000 0.000
Tl1 Tl 0.000 0.000 0.500
Mo1 Mo 0.500 0.500 0.500
# Total magnetization, μB/f.u.: 3.85
# DFT total energy, eV/atom: -3.780

14.
# Na5Pt3, relaxed, DFT PBEsol
data_Na5Pt3
_cell_length_a 7.364
_cell_length_b 9.165
_cell_length_c 4.561
_cell_angle_alpha 90.00
_cell_angle_beta 90.00
_cell_angle_gamma 90.00
_space_group_name_H-M_alt 'C m m m'
_space_group_IT_number 65
_space_group_name_Hall '-C 2 2'
loop_
_atom_site_label
_atom_site_type_symbol
_atom_site_fract_x
_atom_site_fract_y
_atom_site_fract_z
Na1 Na 0.000 0.000 0.000
Na2 Na 0.000 0.223 0.500
Na3 Na 0.250 0.250 0.000
Pt1 Pt 0.000 0.500 0.000
Pt2 Pt 0.186 0.500 0.500
# Total magnetization, μB/f.u.: 0.00
# DFT total energy, eV/atom: -3.484

15.
# LiSc, relaxed, DFT PBEsol
data_LiSc
_cell_length_a 3.1960
_cell_length_b 3.1960
_cell_length_c 10.0752
_cell_angle_alpha 90.00
_cell_angle_beta 90.00
_cell_angle_gamma 120.00
_space_group_name_H-M_alt 'P -3 m 1'
_space_group_IT_number 164
_space_group_name_Hall '-P 3 2"'
loop_
_atom_site_label
_atom_site_type_symbol
_atom_site_fract_x
_atom_site_fract_y
_atom_site_fract_z
Li1 Li 0.3333 0.6667 0.1197
Sc1 Sc 0.3333 0.6667 0.6236
# Total magnetization, μB/f.u.: 0.00
# Energy above the most stable polymorph in this dataset, eV per atom: 0.000

16.
# Sr5Mg3, relaxed, DFT PBEsol
data_Sr5Mg3
_cell_length_a 8.801
_cell_length_b 11.928
_cell_length_c 5.938
_cell_angle_alpha 90.00
_cell_angle_beta 90.00
_cell_angle_gamma 90.00
_space_group_name_H-M_alt 'C m m m'
_space_group_IT_number 65
_space_group_name_Hall '-C 2 2'
loop_
_atom_site_label
_atom_site_type_symbol
_atom_site_fract_x
_atom_site_fract_y
_atom_site_fract_z
Sr1 Sr 0.000 0.000 0.000
Sr2 Sr 0.223 0.500 0.500
Sr3 Sr 0.250 0.250 0.000
Mg1 Mg 0.000 0.232 0.500
Mg2 Mg 0.000 0.500 0.000
# Total magnetization, μB/f.u.: 0.00
# Energy above the most stable polymorph in this dataset, eV per atom: 0.011

17.
# MnCd2Rh, relaxed, DFT PBEsol
data_MnCd2Rh
_cell_length_a 6.383
_cell_length_b 6.383
_cell_length_c 6.383
_cell_angle_alpha 90.00
_cell_angle_beta 90.00
_cell_angle_gamma 90.00
_space_group_name_H-M_alt 'F -4 3 m'
_space_group_IT_number 216
_space_group_name_Hall 'F -4 2 3'
loop_
_atom_site_label
_atom_site_type_symbol
_atom_site_fract_x
_atom_site_fract_y
_atom_site_fract_z
Mn1 Mn 0.000 0.000 0.000
Cd1 Cd 0.000 0.000 0.500
Cd2 Cd 0.250 0.250 0.250
Rh1 Rh 0.250 0.250 0.750
# Total magnetization, μB/f.u.: 4.04
# Energy above the most stable polymorph in this dataset, eV per atom: 0.071

18.
# Li2Ge2Ir, relaxed, DFT PBEsol
data_Li2Ge2Ir
_cell_length_a 6.428
_cell_length_b 6.428
_cell_length_c 3.419
_cell_angle_alpha 90.00
_cell_angle_beta 90.00
_cell_angle_gamma 90.00
_space_group_name_H-M_alt 'P 4/m b m'
_space_group_IT_number 127
_space_group_name_Hall '-P 4 2ab'
loop_
_atom_site_label
_atom_site_type_symbol
_atom_site_fract_x
_atom_site_fract_y
_atom_site_fract_z
Li1 Li 0.167 0.333 0.000
Ge1 Ge 0.138 0.638 0.500
Ir1 Ir 0.000 0.000 0.500
# Total magnetization, μB/f.u.: 0.00
# DFT total energy, eV/atom: -5.044

19.
# ZrSnS3, relaxed, DFT PBEsol
data_ZrSnS3
_cell_length_a 4.919
_cell_length_b 4.919
_cell_length_c 4.919
_cell_angle_alpha 90.00
_cell_angle_beta 90.00
_cell_angle_gamma 90.00
_space_group_name_H-M_alt 'P m -3 m'
_space_group_IT_number 221
_space_group_name_Hall '-P 4 2 3'
loop_
_atom_site_label
_atom_site_type_symbol
_atom_site_fract_x
_atom_site_fract_y
_atom_site_fract_z
Zr1 Zr 0.000 0.000 0.000
Sn1 Sn 0.500 0.500 0.500
S1 S 0.000 0.000 0.500
# Total magnetization, μB/f.u.: 0.00
# DFT total energy, eV/atom: -6.084

20.
# Pm2IrRu, relaxed, DFT PBEsol
data_Pm2IrRu
_cell_length_a 6.896
_cell_length_b 6.896
_cell_length_c 6.896
_cell_angle_alpha 90.00
_cell_angle_beta 90.00
_cell_angle_gamma 90.00
_space_group_name_H-M_alt 'F m -3 m'
_space_group_IT_number 225
_space_group_name_Hall '-F 4 2 3'
loop_
_atom_site_label
_atom_site_type_symbol
_atom_site_fract_x
_atom_site_fract_y
_atom_site_fract_z
Pm1 Pm 0.250 0.250 0.250
Ir1 Ir 0.000 0.000 0.000
Ru1 Ru 0.000 0.000 0.500
# Total magnetization, μB/f.u.: 0.00
# DFT total energy, eV/atom: -7.876